Entry 1:
Here is a geometry-optimized Fe2Si3 structure from Alexandria via LeMat-Bulk. Energies are from GGA-PBEsol.

```
data_Fe2Si3
_cell_length_a 2.6781
_cell_length_b 2.6781
_cell_length_c 27.3247
_cell_angle_alpha 90.00
_cell_angle_beta 90.00
_cell_angle_gamma 120.00
_symmetry_space_group_name_H-M 'R -3 m'
_symmetry_Int_Tables_number 166
_symmetry_space_group_name_Hall '-R 3 2"'
loop_
_atom_site_label
_atom_site_type_symbol
_atom_site_fract_x
_atom_site_fract_y
_atom_site_fract_z
_atom_site_occupancy
Fe1 Fe 0.0000 0.0000 0.1004 1
Si1 Si 0.0000 0.0000 0.2950 1
Si2 Si 0.0000 0.0000 0.5000 1
```

Computed properties:
* raw total energy: -7.34 eV/atom
* raw formation energy: -305 meV per atom
* D(E_F): 2.803 states/eV/f.u.

Entry 2:
Here is a geometry-optimized Fe2Si structure from Alexandria via LeMat-Bulk. Energies are from GGA-PBEsol.

```
data_Fe2Si
_cell_length_a 2.661
_cell_length_b 2.661
_cell_length_c 8.777
_cell_angle_alpha 90.00
_cell_angle_beta 90.00
_cell_angle_gamma 90.00
_symmetry_space_group_name_H-M 'I 4/m m m'
_symmetry_Int_Tables_number 139
_symmetry_space_group_name_Hall '-I 4 2'
loop_
_atom_site_label
_atom_site_type_symbol
_atom_site_fract_x
_atom_site_fract_y
_atom_site_fract_z
_atom_site_occupancy
Fe1 Fe 0.000 0.000 0.161 1
Si1 Si 0.000 0.000 0.500 1
```

Computed properties:
* raw total energy: -8.24 eV/atom
* raw formation energy: -353 meV per atom
* D(E_F): 2.133 states/eV/f.u.

Entry 3:
Here is a geometry-optimized Fe2Si structure from Alexandria via LeMat-Bulk. Energies are from GGA-PBEsol.

```
data_Fe2Si
_cell_length_a 3.8789
_cell_length_b 3.8789
_cell_length_c 4.7708
_cell_angle_alpha 90.00
_cell_angle_beta 90.00
_cell_angle_gamma 120.00
_symmetry_space_group_name_H-M 'P -3 m 1'
_symmetry_Int_Tables_number 164
_symmetry_space_group_name_Hall '-P 3 2"'
loop_
_atom_site_label
_atom_site_type_symbol
_atom_site_fract_x
_atom_site_fract_y
_atom_site_fract_z
_atom_site_occupancy
Fe1 Fe 0.0000 0.0000 0.0000 1
Fe2 Fe 0.0000 0.0000 0.5000 1
Fe3 Fe 0.3333 0.6667 0.1770 1
Si1 Si 0.3333 0.6667 0.6797 1
```

Computed properties:
* raw total energy: -8.36 eV/atom
* raw formation energy: -465 meV per atom
* D(E_F): 1.915 states/eV/f.u.

Entry 4:
Here is a geometry-optimized Fe8Si structure from Alexandria via LeMat-Bulk. Energies are from GGA-PBEsol.

```
data_Fe8Si
_cell_length_a 7.267
_cell_length_b 7.267
_cell_length_c 3.438
_cell_angle_alpha 90.00
_cell_angle_beta 90.00
_cell_angle_gamma 90.00
_symmetry_space_group_name_H-M 'I 4/m m m'
_symmetry_Int_Tables_number 139
_symmetry_space_group_name_Hall '-I 4 2'
loop_
_atom_site_label
_atom_site_type_symbol
_atom_site_fract_x
_atom_site_fract_y
_atom_site_fract_z
_atom_site_occupancy
Fe1 Fe 0.000 0.341 0.000 1
Fe2 Fe 0.173 0.173 0.500 1
Si1 Si 0.000 0.000 0.000 1
```

Computed properties:
* raw total energy: -8.69 eV/atom
* raw formation energy: -82 meV per atom
* D(E_F): 12.218 states/eV/f.u.

no.,volume (Å³ per cell)
1,170
2,62
3,62
4,182